Crystalline Be4Te3PbO12 at its relaxed geometry, computed with GGA-PBE.

Properties
Its final energy is -5.913 eV per atom.

Unit cell a=10.3718 b=10.3718 c=8.2220 alpha=90.00 beta=90.00 gamma=120.00
Space group R32 (No. 155, hexagonal axes)
Asymmetric unit:
Be1 0.0000 0.0000 0.0000 x3
Be2 0.0000 0.4459 0.0000 x9
Te1 0.0000 0.5465 0.5000 x9
Pb1 0.0000 0.0000 0.5000 x3
O1 0.0000 0.5972 0.0000 x9
O2 0.0000 0.8494 0.0000 x9
O3 0.0310 0.2139 0.6951 x18